First-principles (PBE-GGA) data for a relaxed Gd2BiAs crystal, as listed in Alexandria.

Geometry as POSCAR:
```
Gd2BiAs
1.0
2.146 1.239 7.182
-2.146 1.239 7.182
0.000 -2.478 7.182
Gd Bi As
2 1 1
Cartesian
0.000 0.000 5.211
0.000 0.000 16.335
0.000 0.000 0.000
0.000 0.000 10.773
```

Values from the calculation:
- E_form: -1.20 eV/atom